Below is an optimized crystal structure of InOsPd3, with properties calculated at the PBE level.

Unit cell a=4.853 b=4.853 c=4.853 alpha=90.00 beta=90.00 gamma=90.00
Positions (direct):
Os: 0.000 0.000 0.000
Pd: 0.000 0.500 0.000
Pd: 0.000 0.000 0.500
Pd: 0.500 0.000 0.000
In: 0.500 0.500 0.500

excess energy over the best structure of this formula in the dataset: 0 meV/atom
volume: 22.86 A^3/atom
space-group type: No. 221

***

Below is an optimized crystal structure of In2OsPd, with properties calculated at the PBE level.

Unit cell a=4.170 b=4.170 c=9.705 alpha=77.59 beta=77.59 gamma=90.00
Site moments in Bohr magnetons follow the coordinates.
Positions (direct):
Os: 0.000 0.000 0.000  0.94
Os: 0.750 0.250 0.500  0.94
Pd: 0.500 0.500 0.000  0.04
Pd: 0.250 0.750 0.500  0.04
In: 0.630 0.125 0.250  -0.01
In: 0.120 0.625 0.250  -0.01
In: 0.375 0.370 0.750  -0.01
In: 0.875 0.880 0.750  -0.01

volume: 20.10 A^3/atom
space-group type: No. 122
DFT total energy: -4.90 eV per atom

***

Below is an optimized crystal structure of InOsPdRh2, with properties calculated at the PBE level.

Unit cell a=4.806 b=4.750 c=4.806 alpha=90.00 beta=90.00 gamma=90.00
Site moments in Bohr magnetons follow the coordinates.
Positions (direct):
Rh: 0.000 0.000 0.500  0.57
Rh: 0.500 0.000 0.000  0.73
Os: 0.500 0.500 0.500  3.01
Pd: 0.000 0.500 0.000  0.18
In: 0.000 0.000 0.000  -0.02

volume: 21.95 A^3/atom
space-group type: No. 123
DFT total energy: -4.89 eV per atom

***

Which formula does entry 3 have? InOsPdRh2